1.
Computed, not measured: an optimized crystal structure of PRuS at the GGA-PBE level of DFT.

Geometry as CIF:
```
data_PRuS
_symmetry_space_group_name_H-M 'P 1 21 1'
_symmetry_Int_Tables_number 4
_symmetry_space_group_name_Hall 'P 2yb'
_cell_length_a 5.794
_cell_length_b 5.797
_cell_length_c 5.875
_cell_angle_alpha 90.00
_cell_angle_beta 111.59
_cell_angle_gamma 90.00
loop_
_atom_site_label
_atom_site_fract_x
_atom_site_fract_y
_atom_site_fract_z
_atom_site_occupancy
P1 0.157 0.000 0.118 1
P2 0.339 0.507 0.433 1
Ru1 0.274 0.873 0.540 1
Ru2 0.275 0.376 0.042 1
S1 0.159 0.264 0.615 1
S2 0.335 0.757 0.938 1
```

- Crystal system: monoclinic
- Volume: 15.3 Å³ per atom
- Magnetization: 0.00 μB per formula unit
- Uncorrected formation energy: -608 meV/atom

***

2.
Computed, not measured: an optimized crystal structure of PRuS at the GGA-PBE level of DFT.

Geometry as CIF:
```
data_PRuS
_symmetry_space_group_name_H-M 'P 1 21/c 1'
_symmetry_Int_Tables_number 14
_symmetry_space_group_name_Hall '-P 2ybc'
_cell_length_a 5.771
_cell_length_b 5.797
_cell_length_c 5.839
_cell_angle_alpha 90.00
_cell_angle_beta 110.67
_cell_angle_gamma 90.00
loop_
_atom_site_label
_atom_site_fract_x
_atom_site_fract_y
_atom_site_fract_z
_atom_site_occupancy
P1 0.150 0.123 0.373 1
Ru1 0.274 0.002 0.793 1
S1 0.335 0.622 0.692 1
```

- Crystal system: monoclinic
- Volume: 15.2 Å³ per atom
- Magnetization: 0.00 μB per formula unit
- Uncorrected formation energy: -575 meV/atom

***

3.
Computed, not measured: an optimized crystal structure of PRuS3 at the GGA-PBE level of DFT.

Geometry as CIF:
```
data_PRuS3
_symmetry_space_group_name_H-M 'P m -3 m'
_symmetry_Int_Tables_number 221
_symmetry_space_group_name_Hall '-P 4 2 3'
_cell_length_a 4.563
_cell_length_b 4.563
_cell_length_c 4.563
_cell_angle_alpha 90.00
_cell_angle_beta 90.00
_cell_angle_gamma 90.00
loop_
_atom_site_label
_atom_site_fract_x
_atom_site_fract_y
_atom_site_fract_z
_atom_site_occupancy
P1 0.000 0.000 0.000 1
Ru1 0.500 0.500 0.500 1
S1 0.000 0.500 0.500 1
```

- Crystal system: cubic
- Fermi-level density of states: 1.252 states/eV/atom
- ΔE to the lowest computed polymorph: 0 meV per atom
- Volume: 19.0 Å³ per atom
- Magnetization: 0.00 μB per formula unit
- Uncorrected formation energy: 787 meV/atom

***

4.
Computed, not measured: an optimized crystal structure of PRu2S at the GGA-PBE level of DFT.

Geometry as CIF:
```
data_PRu2S
_symmetry_space_group_name_H-M 'R 3 m'
_symmetry_Int_Tables_number 160
_symmetry_space_group_name_Hall 'R 3 -2"'
_cell_length_a 3.6129
_cell_length_b 3.6129
_cell_length_c 15.9901
_cell_angle_alpha 90.00
_cell_angle_beta 90.00
_cell_angle_gamma 120.00
loop_
_atom_site_label
_atom_site_fract_x
_atom_site_fract_y
_atom_site_fract_z
_atom_site_occupancy
P1 0.0000 0.0000 0.0000 1
Ru1 0.0000 0.0000 0.4052 1
Ru2 0.0000 0.0000 0.6124 1
S1 0.0000 0.0000 0.1635 1
```

- Crystal system: trigonal
- Fermi-level density of states: 0.783 states/eV/atom
- Volume: 15.1 Å³ per atom
- Magnetization: 0.00 μB per formula unit
- Uncorrected formation energy: -165 meV/atom

***

5.
Computed, not measured: an optimized crystal structure of PRu2S at the GGA-PBE level of DFT.

Geometry as CIF:
```
data_PRu2S
_symmetry_space_group_name_H-M 'I -4 2 d'
_symmetry_Int_Tables_number 122
_symmetry_space_group_name_Hall 'I -4 2bw'
_cell_length_a 5.192
_cell_length_b 5.192
_cell_length_c 10.482
_cell_angle_alpha 90.00
_cell_angle_beta 90.00
_cell_angle_gamma 90.00
loop_
_atom_site_label
_atom_site_fract_x
_atom_site_fract_y
_atom_site_fract_z
_atom_site_occupancy
P1 0.000 0.000 0.000 1
Ru1 0.249 0.250 0.125 1
S1 0.000 0.000 0.500 1
```

- Crystal system: tetragonal
- Fermi-level density of states: 0.432 states/eV/atom
- Volume: 17.7 Å³ per atom
- Magnetization: 0.00 μB per formula unit
- Uncorrected formation energy: -242 meV/atom

***

6.
Computed, not measured: an optimized crystal structure of PRuS3 at the GGA-PBE level of DFT.

Geometry as CIF:
```
data_PRuS3
_symmetry_space_group_name_H-M 'P m -3 m'
_symmetry_Int_Tables_number 221
_symmetry_space_group_name_Hall '-P 4 2 3'
_cell_length_a 4.452
_cell_length_b 4.452
_cell_length_c 4.452
_cell_angle_alpha 90.00
_cell_angle_beta 90.00
_cell_angle_gamma 90.00
loop_
_atom_site_label
_atom_site_fract_x
_atom_site_fract_y
_atom_site_fract_z
_atom_site_occupancy
P1 0.000 0.000 0.000 1
Ru1 0.500 0.500 0.500 1
S1 0.000 0.000 0.500 1
```

- Crystal system: cubic
- Fermi-level density of states: 1.534 states/eV/atom
- ΔE to the lowest computed polymorph: 177 meV per atom
- Volume: 17.6 Å³ per atom
- Magnetization: 3.39 μB per formula unit
- Uncorrected formation energy: 963 meV/atom

***

7.
Computed, not measured: an optimized crystal structure of SbP2RuS at the GGA-PBE level of DFT.

Geometry as CIF:
```
data_SbP2RuS
_symmetry_space_group_name_H-M 'P 4/m m m'
_symmetry_Int_Tables_number 123
_symmetry_space_group_name_Hall '-P 4 2'
_cell_length_a 4.998
_cell_length_b 4.998
_cell_length_c 4.877
_cell_angle_alpha 90.00
_cell_angle_beta 90.00
_cell_angle_gamma 90.00
loop_
_atom_site_label
_atom_site_fract_x
_atom_site_fract_y
_atom_site_fract_z
_atom_site_occupancy
Sb1 0.000 0.000 0.000 1
P1 0.000 0.500 0.000 1
Ru1 0.500 0.500 0.500 1
S1 0.000 0.000 0.500 1
```

- Crystal system: tetragonal
- Fermi-level density of states: 1.000 states/eV/atom
- ΔE to the lowest computed polymorph: 1154 meV per atom
- Volume: 24.4 Å³ per atom
- Magnetization: 2.45 μB per formula unit
- Uncorrected formation energy: 1600 meV/atom

***

8.
Computed, not measured: an optimized crystal structure of SbP2RuS at the GGA-PBE level of DFT.

Geometry as CIF:
```
data_SbP2RuS
_symmetry_space_group_name_H-M 'P 4/m m m'
_symmetry_Int_Tables_number 123
_symmetry_space_group_name_Hall '-P 4 2'
_cell_length_a 4.462
_cell_length_b 4.462
_cell_length_c 5.136
_cell_angle_alpha 90.00
_cell_angle_beta 90.00
_cell_angle_gamma 90.00
loop_
_atom_site_label
_atom_site_fract_x
_atom_site_fract_y
_atom_site_fract_z
_atom_site_occupancy
Sb1 0.000 0.000 0.000 1
P1 0.000 0.500 0.500 1
Ru1 0.500 0.500 0.500 1
S1 0.500 0.500 0.000 1
```

- Crystal system: tetragonal
- Fermi-level density of states: 0.513 states/eV/atom
- ΔE to the lowest computed polymorph: 0 meV per atom
- Volume: 20.5 Å³ per atom
- Magnetization: 0.00 μB per formula unit
- Uncorrected formation energy: 446 meV/atom

***

Q: What is the uncorrected formation energy in the fifth record?
A: -242 meV/atom

***

Copy entry 4 word for word.
Computed, not measured: an optimized crystal structure of PRu2S at the GGA-PBE level of DFT.

Geometry as CIF:
```
data_PRu2S
_symmetry_space_group_name_H-M 'R 3 m'
_symmetry_Int_Tables_number 160
_symmetry_space_group_name_Hall 'R 3 -2"'
_cell_length_a 3.6129
_cell_length_b 3.6129
_cell_length_c 15.9901
_cell_angle_alpha 90.00
_cell_angle_beta 90.00
_cell_angle_gamma 120.00
loop_
_atom_site_label
_atom_site_fract_x
_atom_site_fract_y
_atom_site_fract_z
_atom_site_occupancy
P1 0.0000 0.0000 0.0000 1
Ru1 0.0000 0.0000 0.4052 1
Ru2 0.0000 0.0000 0.6124 1
S1 0.0000 0.0000 0.1635 1
```

- Crystal system: trigonal
- Fermi-level density of states: 0.783 states/eV/atom
- Volume: 15.1 Å³ per atom
- Magnetization: 0.00 μB per formula unit
- Uncorrected formation energy: -165 meV/atom